[1]
CoMoW (PBE, relaxed); DFT total energy = -10.0252 eV/atom; SG = Imm2 (44); volume = 14.4 Å³ per atom; size of the total moment = 0.62 μB/f.u.; E above lowest polymorph = 265.5 meV per atom; density of states at the Fermi level = 1.150 states/eV/atom
1.0
5.035 0.191 -0.072
2.924 4.104 0.072
-3.668 -2.724 2.125
Co Mo W
1 1 1
direct
0.004 0.004 0.000
0.341 0.341 0.000
0.655 0.655 0.000



[2]
CsRb2Pb (PBE, relaxed); DFT total energy = -1.6140 eV/atom; SG = R3m (160); volume = 63.8 Å³ per atom; size of the total moment = 1.05 μB/f.u.; density of states at the Fermi level = 0.751 states/eV/atom
1.0
-4.192 5.001 -0.347
-6.374 -1.135 -0.893
-4.428 1.003 6.416
Cs Rb Pb
1 2 1
direct
0.490 0.490 0.530
0.032 0.032 0.903
0.280 0.280 0.160
0.698 0.698 0.906



[3]
Cs2Cu3Cl8 (PBE, relaxed); DFT total energy = -3.1463 eV/atom; raw formation energy = -0.933 eV/atom; SG = C2/m (12); volume = 30.8 Å³ per atom; size of the total moment = 0.62 μB/f.u.; E above lowest polymorph = 0.0 meV per atom; density of states at the Fermi level = 0.642 states/eV/atom
1.0
6.913 0.000 -0.066
0.000 8.264 0.000
-2.826 -4.132 7.026
Cs Cu Cl
2 3 8
direct
0.337 0.270 0.539
0.663 0.730 0.461
0.500 0.000 0.000
0.000 0.315 0.000
0.000 0.685 0.000
0.026 0.620 0.241
0.974 0.380 0.759
0.752 0.146 0.291
0.248 0.854 0.709
0.677 0.722 0.879
0.677 0.157 0.879
0.323 0.843 0.121
0.323 0.278 0.121



[4]
Ni2SbP (PBE, relaxed); DFT total energy = -5.4393 eV/atom; raw formation energy = -0.166 eV/atom; SG = Pm (6); volume = 17.1 Å³ per atom; size of the total moment = 0.00 μB/f.u.; E above lowest polymorph = 146.1 meV per atom; density of states at the Fermi level = 0.385 states/eV/atom
1.0
-2.884 -1.558 1.754
-0.124 -3.093 -2.952
2.747 -1.658 3.044
Ni Sb P
2 1 1
direct
0.000 0.919 0.133
0.500 0.277 0.403
0.500 0.857 0.723
0.000 0.447 0.241



[5]
Li2CaNd2Bi2 (PBE, relaxed); DFT total energy = -3.7725 eV/atom; SG = R-3m (166); volume = 28.2 Å³ per atom; size of the total moment = 0.01 μB/f.u.; density of states at the Fermi level = 0.909 states/eV/atom
1.0
-0.610 3.201 -3.707
-1.614 -1.583 -4.387
-9.573 2.006 0.022
Li Ca Nd Bi
2 1 2 2
direct
0.591 0.591 0.228
0.409 0.409 0.772
0.000 0.000 0.000
0.132 0.132 0.605
0.868 0.868 0.395
0.737 0.737 0.790
0.263 0.263 0.210



[6]
MnNbAg2 (PBE, relaxed); DFT total energy = -5.5021 eV/atom; SG = I-42d (122); volume = 17.1 Å³ per atom; size of the total moment = 0.00 μB/f.u.; E above lowest polymorph = 0.0 meV per atom; density of states at the Fermi level = 1.033 states/eV/atom
1.0
-1.696 -3.250 0.017
2.746 -1.443 -1.953
5.357 -4.823 7.652
Nb Mn Ag
2 2 4
direct
0.000 0.000 0.000
0.750 0.250 0.500
0.500 0.500 0.000
0.250 0.750 0.500
0.619 0.125 0.250
0.131 0.625 0.250
0.375 0.381 0.750
0.875 0.869 0.750



> Look up the size of the total moment of the fifth one.

0.01 μB/f.u.